No. 1
{"formula": "KRb2PdN", "functional": "PBE", "state": "relaxed", "lattice_angstrom": [[6.4258, 0.0000, 0.0000], [0.0000, 6.4258, 0.0000], [0.0000, 0.0000, 6.1068]], "species": ["K", "Rb", "Rb", "Pd", "N"], "frac_coords": [[0.0000, 0.0000, 0.0000], [0.0000, 0.5000, 0.5000], [0.5000, 0.0000, 0.5000], [0.0000, 0.0000, 0.5000], [0.5000, 0.5000, 0.0000]], "e_tot_ev_per_atom": -2.41, "volume_a3_per_atom": 50.4, "raw_formation_energy_ev_per_atom": 0.90, "magmom_total_mub_per_cell": 2.000}

No. 2
{"formula": "Pr2AlZn2", "functional": "PBE", "state": "relaxed", "lattice_angstrom": [[5.4230, -2.3051, 0.0000], [5.4230, 2.3051, 0.0000], [-5.3546, 0.0000, 9.6850]], "species": ["Pr", "Pr", "Pr", "Pr", "Al", "Al", "Zn", "Zn", "Zn", "Zn"], "frac_coords": [[0.0163, 0.0163, 0.3336], [0.1976, 0.1976, 0.1070], [0.8024, 0.8024, 0.8930], [0.9837, 0.9837, 0.6664], [0.2735, 0.2735, 0.6508], [0.7265, 0.7265, 0.3492], [0.3598, 0.3598, 0.4438], [0.4924, 0.4924, 0.1146], [0.5076, 0.5076, 0.8854], [0.6402, 0.6402, 0.5562]], "e_tot_ev_per_atom": -3.52, "volume_a3_per_atom": 24.2, "magmom_total_mub_per_cell": 0.000}

No. 3
{"formula": "BaTeBrN2", "functional": "PBE", "state": "relaxed", "lattice_angstrom": [[4.7616, 0.0000, 0.0000], [0.0000, 4.7616, 0.0000], [0.0000, 0.0000, 7.4547]], "species": ["Ba", "Te", "Br", "N", "N"], "frac_coords": [[0.0000, 0.0000, 0.0000], [0.0000, 0.0000, 0.5000], [0.5000, 0.5000, 0.5000], [0.0000, 0.5000, 0.0000], [0.5000, 0.0000, 0.0000]], "e_tot_ev_per_atom": -3.13, "volume_a3_per_atom": 33.8, "raw_formation_energy_ev_per_atom": 1.55, "magmom_total_mub_per_cell": 1.116}

Please write out number 1 again, unchanged.
{"formula": "KRb2PdN", "functional": "PBE", "state": "relaxed", "lattice_angstrom": [[6.4258, 0.0000, 0.0000], [0.0000, 6.4258, 0.0000], [0.0000, 0.0000, 6.1068]], "species": ["K", "Rb", "Rb", "Pd", "N"], "frac_coords": [[0.0000, 0.0000, 0.0000], [0.0000, 0.5000, 0.5000], [0.5000, 0.0000, 0.5000], [0.0000, 0.0000, 0.5000], [0.5000, 0.5000, 0.0000]], "e_tot_ev_per_atom": -2.41, "volume_a3_per_atom": 50.4, "raw_formation_energy_ev_per_atom": 0.90, "magmom_total_mub_per_cell": 2.000}